Record 1
First-principles (PBE) data for a relaxed CaSc2P crystal, as listed in Alexandria.

Cell and atoms, written as extended XYZ:
```
4
Lattice="-2.3529 -2.8043 -3.9830 5.9625 -0.3000 0.2998 0.6343 -2.8329 1.4942" Properties=species:S:1:pos:R:3 pbc="T T T"
P 1.8048 -1.5521 -1.8416
Sc 0.0000 0.0000 0.0000
Sc -0.8593 -2.8186 -1.2444
Ca 3.2984 -1.5664 0.8970
```

**Energy of formation from the pure elements**: -0.119 eV per atom

Record 2
First-principles (PBE) data for a relaxed HoUFe2 crystal, as listed in Alexandria.

Cell and atoms, written as extended XYZ:
```
16
Lattice="-2.4802 0.7769 -4.0883 -3.4019 -5.2941 1.0577 -6.3508 5.0420 4.8109" Properties=species:S:1:pos:R:3 pbc="T T T"
Ho -5.9276 1.5754 2.4603
Ho -3.2826 0.5472 -2.2100
Ho -8.9502 -0.0224 3.9904
Ho -6.3053 -1.0506 -0.6799
Fe -4.5983 -3.7432 0.6432
Fe -7.6345 4.2680 1.1372
Fe -5.5586 1.6967 -0.6108
Fe -7.6441 3.5956 3.8855
Fe -8.0780 0.6226 0.7135
Fe -4.5888 -3.0708 -2.1051
Fe -6.6743 -1.1719 2.3912
Fe -4.1549 -0.0978 1.0669
U -5.9399 3.6667 -0.0051
U -9.1394 2.2094 1.6590
U -3.0934 -1.6846 0.1214
U -6.2930 -3.1419 1.7855
```

**Energy of formation from the pure elements**: -0.163 eV per atom

Record 3
First-principles (PBE) data for a relaxed Cs3RbAu2 crystal, as listed in Alexandria.

Cell and atoms, written as extended XYZ:
```
12
Lattice="-5.2107 7.3684 -4.0345 -6.9224 -2.2143 -6.7007 -9.5089 1.0000 2.5105" Properties=species:S:1:pos:R:3 pbc="T T T"
Cs -14.2329 1.6853 -1.9909
Cs -7.4093 4.4689 -6.2338
Cs -9.8799 -1.0623 -3.8714
Cs -11.7623 7.2164 -4.3532
Cs -9.7635 4.2861 -0.1756
Cs -11.8786 1.8680 -8.0491
Rb 0.0000 0.0000 0.0000
Rb -10.8211 3.0771 -4.1123
Au -18.5018 5.2612 -7.0313
Au -3.1403 0.8930 -1.1934
Au -13.9613 3.9700 -5.3057
Au -7.6808 2.1841 -2.9189
```

**Energy of formation from the pure elements**: -0.145 eV per atom

Record 4
First-principles (PBE) data for a relaxed Cs3Pb2Br3Cl4 crystal, as listed in Alexandria.

Cell and atoms, written as extended XYZ:
```
12
Lattice="5.7308 0.0000 0.0000 0.0000 5.9939 0.0000 -2.8654 -2.9969 14.7036" Properties=species:S:1:pos:R:3 pbc="T T T"
Cs 2.8574 2.9969 5.3967
Cs -0.0080 0.0000 9.3069
Cs 2.8842 2.9969 0.0000
Br 0.0026 2.9969 2.8830
Br 2.8680 0.0000 11.8207
Br 0.0123 0.0000 0.0000
Cl 2.9063 2.9969 8.8074
Cl 0.0145 2.9969 11.5829
Cl 0.0409 0.0000 5.8962
Cl 2.8799 0.0000 3.1208
Pb 0.0143 0.0000 3.0892
Pb 2.8797 2.9969 11.6144
```

**Formation energy without anion corrections**: -1500 meV per atom

Record 5
First-principles (PBE) data for a relaxed Ta2CdCl crystal, as listed in Alexandria.

Cell and atoms, written as extended XYZ:
```
4
Lattice="5.4601 -0.0143 0.0000 -2.5185 4.8446 0.0000 0.0000 0.0000 2.9069" Properties=species:S:1:pos:R:3 pbc="T T T"
Cl -1.2592 2.4223 1.4535
Cd 2.7300 -0.0072 1.4535
Ta 0.0000 0.0000 0.0000
Ta 1.4708 2.4151 0.0000
```

**Formation energy without anion corrections**: 732 meV per atom
**Distance to the lowest polymorph of the same formula**: 3.193 eV per formula unit

Record 6
First-principles (PBE) data for a relaxed TaMn2Cl crystal, as listed in Alexandria.

Cell and atoms, written as extended XYZ:
```
4
Lattice="-4.8557 0.1442 -0.6552 -1.7824 -4.4804 -0.8816 2.9399 1.7826 3.4939" Properties=species:S:1:pos:R:3 pbc="T T T"
Cl -2.6174 -0.1207 1.0352
Ta -1.0808 -2.4329 0.9219
Mn -3.3190 -2.1681 -0.7684
Mn 0.0000 0.0000 0.0000
```

**Formation energy without anion corrections**: 704 meV per atom
**Distance to the lowest polymorph of the same formula**: 2.695 eV per formula unit